# PrZnGa3Cu

A relaxed PrZnGa3Cu crystal (PBE-GGA, the Alexandria database).

Summary:
Formation energy (eV/atom): -0.133
Calculated total energy (eV per atom): -3.34

a = 6.1909 Å, b = 12.6301 Å, c = 6.0732 Å
α = 90.00°, β = 90.00°, γ = 90.00°
With the nearest neighbours (Å) after each atom.
Space group Cmcm (No. 63)
Inequivalent atoms, fractional coordinates:
1 Pr 0.0000 0.2097 0.2500 (multiplicity 4)  1 Cu 2.85, 2 Zn 3.13
2 Zn 0.0000 0.1502 0.7500 (multiplicity 4)  5 Ga 2.62-2.75
3 Ga 0.0000 0.3578 0.7500 (multiplicity 4)  1 Cu 2.61, 1 Zn 2.62
4 Ga 0.2094 0.0000 0.0000 (multiplicity 8)  2 Cu 2.49, 1 Ga 2.59, 2 Zn 2.75
5 Cu 0.0000 0.4356 0.2500 (multiplicity 4)  5 Ga 2.49-2.61